Here is Cu2IrPtO after structural relaxation from Alexandria via LeMat-Bulk. Energies are from GGA-PBE.

## Properties
ΔE_f (raw) in eV/f.u.: 2.74
DOS(E_F) in states/eV/atom: 0.570

a = 4.836 Å, b = 4.836 Å, c = 3.551 Å
α = 90.00°, β = 90.00°, γ = 90.00°
Space group P4/mmm (No. 123)
Unique sites:
Cu  0.000  0.500  0.000 x2
Ir  0.000  0.000  0.000 x1
Pt  0.500  0.500  0.500 x1
O  0.000  0.000  0.500 x1